Computed, not measured: crystalline RbBeCoCl2 at its relaxed geometry at the GGA-PBEsol level of DFT.

Geometry as extended XYZ:
```
5
Lattice="-3.125 0.053 -4.002 3.635 -3.384 -2.884 -2.697 -4.640 2.045" Properties=species:S:1:pos:R:3 pbc="T T T"
Co -1.563 0.027 -2.001
Cl -1.349 -2.320 1.023
Cl 1.818 -1.692 -1.442
Be -1.094 -3.986 -2.420
Rb 0.000 0.000 0.000
```

Summary:
total moment	2.5	μB per formula unit
space group	P4/mmm, No. 123
V	33.50	Å³ per atom
uncorrected energy	-2.15	eV per atom